# NdY2Tl2Zn3Cd PBE relaxed
# * crystal system: orthorhombic
# * final energy: -29.967 eV/f.u.
data_NdY2Tl2Zn3Cd
_chemical_formula_sum 'Nd2 Y4 Tl4 Zn6 Cd2'
_space_group_name_H-M_alt 'A m m 2'
_space_group_IT_number 38
_cell_length_a 4.576
_cell_length_b 12.767
_cell_length_c 7.261
_cell_angle_alpha 90.00
_cell_angle_beta 90.00
_cell_angle_gamma 90.00
loop_
_space_group_symop_operation_xyz
'x,y,z'
'-x,-y,z'
'-x,y,z'
'x,-y,z'
'x,y+1/2,z+1/2'
'-x,-y+1/2,z+1/2'
'-x,y+1/2,z+1/2'
'x,-y+1/2,z+1/2'
loop_
_atom_site_label
_atom_site_fract_x
_atom_site_fract_y
_atom_site_fract_z
Nd1 0.000 0.000 0.000
Y1 0.000 0.213 0.637
Tl1 0.500 0.170 0.924
Zn1 0.500 0.000 0.658
Zn2 0.500 0.115 0.312
Cd1 0.000 0.000 0.435